Here is a geometry-optimized CoTc2Pt structure from Alexandria via LeMat-Bulk. Energies are from PBE-GGA.

```
CoTc2Pt
1.0
-4.0211 1.1941 2.0232
-2.6096 -0.1446 3.8546
1.3375 4.0960 1.9633
Co Pt Tc
1 1 2
direct
0.4956 0.4956 0.5127
0.2486 0.2486 0.2574
0.9989 0.9989 0.9858
0.7569 0.7569 0.7441
```

Output
Energy above the lowest structure with this stoichiometry: 45 meV/atom
Symmetry: Cm (8)
Calculated formation energy: -0.01 eV/f.u.

Here is a geometry-optimized CsHf2Ta structure from Alexandria via LeMat-Bulk. Energies are from PBE-GGA.

```
CsHf2Ta
1.0
8.1008 0.0000 0.0000
0.0000 8.1008 0.0000
4.0504 4.0504 5.7856
Cs Hf Ta
2 4 2
direct
0.5000 0.5000 0.0000
0.2500 0.7500 0.5000
0.8750 0.1250 0.2500
0.8750 0.6250 0.2500
0.3750 0.1250 0.7500
0.8750 0.1250 0.7500
0.0000 0.0000 0.0000
0.7500 0.2500 0.5000
```

Output
Energy above the lowest structure with this stoichiometry: 389 meV/atom
Symmetry: I4_1/amd (141)
Calculated formation energy: 6.92 eV/f.u.

Here is a geometry-optimized V6AuC structure from Alexandria via LeMat-Bulk. Energies are from PBE-GGA.

```
V6AuC
1.0
4.3487 -0.3471 -1.2072
1.6991 4.6415 -0.9958
1.1523 1.3194 4.6337
V Au C
6 1 1
direct
0.0557 0.3588 0.8055
0.7899 0.9300 0.6487
0.5912 0.2309 0.0810
0.2101 0.0700 0.3513
0.9443 0.6412 0.1945
0.4088 0.7691 0.9190
0.5000 0.5000 0.5000
0.0000 0.0000 0.0000
```

Output
Symmetry: P-1 (2)
Calculated formation energy: -0.59 eV/f.u.

> Which of these has the lowest calculated formation energy?

V6AuC

> The lowest calculated formation energy belongs to which entry?

V6AuC